(1)
Material: Pr2PuCl8
Method: DFT, GGA-PBE
State: relaxed

```
Pr2PuCl8
1.0
-3.838 0.322 3.910
-4.467 -2.141 -5.779
3.938 -5.890 2.781
Pr Pu Cl
2 1 8
Direct
0.000 0.317 0.683
0.000 0.683 0.317
0.500 0.000 0.000
0.912 0.935 0.676
0.912 0.676 0.935
0.312 0.631 0.631
0.500 0.766 0.234
0.500 0.234 0.766
0.688 0.369 0.369
0.088 0.324 0.065
0.088 0.065 0.324
```

Calculated values
* SG: No. 12
* raw total energy: -61.3 eV for the cell shown
* total moment: 6.0 μB per formula unit

(2)
Material: PrPuSbCl
Method: DFT, GGA-PBE
State: relaxed

```
PrPuSbCl
1.0
-4.993 -0.428 1.895
-1.886 -4.778 1.525
-0.815 -1.025 5.196
Pr Sb Cl Pu
1 1 1 1
Direct
0.750 0.750 0.750
0.500 0.500 0.500
0.000 0.000 0.000
0.250 0.250 0.250
```

Calculated values
* SG: No. 216
* raw total energy: -29.1 eV for the cell shown
* total moment: 6.8 μB per formula unit

(3)
Material: Rb2PrCl5
Method: DFT, GGA-PBE
State: relaxed

```
Rb2PrCl5
1.0
8.391 0.000 0.000
0.000 9.018 0.000
0.000 0.000 13.531
Rb Pr Cl
8 4 20
Direct
0.446 0.504 0.672
0.946 0.496 0.828
0.554 0.004 0.328
0.054 0.996 0.172
0.946 0.004 0.828
0.446 0.996 0.672
0.054 0.504 0.172
0.554 0.496 0.328
0.929 0.750 0.505
0.429 0.250 0.995
0.071 0.250 0.495
0.571 0.750 0.005
0.339 0.958 0.928
0.839 0.042 0.572
0.661 0.458 0.072
0.161 0.542 0.428
0.661 0.042 0.072
0.161 0.958 0.428
0.339 0.542 0.928
0.839 0.458 0.572
0.382 0.750 0.175
0.882 0.250 0.325
0.618 0.250 0.825
0.118 0.750 0.675
0.095 0.250 0.988
0.595 0.750 0.512
0.905 0.750 0.012
0.405 0.250 0.488
0.653 0.750 0.804
0.153 0.250 0.696
0.347 0.250 0.196
0.847 0.750 0.304
```

Calculated values
* SG: No. 62
* raw total energy: -133.4 eV for the cell shown
* total moment: 0.0 μB per formula unit

(4)
Material: RbPrCl4
Method: DFT, GGA-PBE
State: relaxed

```
RbPrCl4
1.0
-5.029 -5.133 -0.017
7.145 -4.416 -0.844
-0.558 4.262 7.340
Rb Pr Cl
2 2 8
Direct
0.390 0.640 0.280
0.610 0.360 0.720
0.242 0.992 0.984
0.758 0.008 0.016
0.001 0.203 0.884
0.808 0.747 0.693
0.383 0.681 0.884
0.385 0.945 0.693
0.615 0.055 0.307
0.617 0.319 0.116
0.192 0.253 0.307
0.999 0.797 0.116
```

Calculated values
* SG: No. 15
* raw total energy: -51.9 eV for the cell shown
* total moment: 0.0 μB per formula unit

(5)
Material: RbPrCl4
Method: DFT, GGA-PBE
State: relaxed

```
RbPrCl4
1.0
-2.541 3.294 1.476
-2.250 -4.411 5.970
15.137 6.851 10.768
Rb Pr Cl
4 4 16
Direct
0.750 0.781 0.796
0.250 0.219 0.204
0.250 0.719 0.296
0.750 0.281 0.704
0.750 0.250 0.442
0.250 0.750 0.558
0.250 0.250 0.942
0.750 0.750 0.058
0.750 0.901 0.633
0.250 0.099 0.367
0.250 0.599 0.133
0.750 0.401 0.867
0.750 0.860 0.464
0.250 0.140 0.536
0.250 0.640 0.964
0.750 0.360 0.036
0.750 0.992 0.940
0.250 0.008 0.060
0.250 0.508 0.440
0.750 0.492 0.560
0.750 0.904 0.191
0.250 0.096 0.809
0.250 0.596 0.691
0.750 0.404 0.309
```

Calculated values
* SG: No. 62
* raw total energy: -105.1 eV for the cell shown
* total moment: 0.0 μB per formula unit

(6)
Material: RbPrSeCl
Method: DFT, GGA-PBE
State: relaxed

```
RbPrSeCl
1.0
-0.852 -2.938 -2.920
-0.292 -0.956 4.109
-7.233 4.593 0.554
Rb Pr Se Cl
1 1 1 1
Direct
0.480 0.138 0.633
0.128 0.962 0.105
0.326 0.561 0.902
0.945 0.370 0.330
```

Calculated values
* SG: No. 160
* raw total energy: -17.5 eV for the cell shown
* total moment: 0.0 μB per formula unit

(7)
Material: RbPrSn2Cl8
Method: DFT, GGA-PBE
State: relaxed

```
RbPrSn2Cl8
1.0
-5.585 3.760 1.884
-4.033 -5.116 -0.829
0.647 -2.448 8.937
Rb Pr Sn Cl
1 1 2 8
Direct
0.000 0.000 0.500
0.000 0.000 0.000
0.485 0.492 0.748
0.515 0.508 0.252
0.186 0.781 0.214
0.681 0.751 0.040
0.858 0.257 0.215
0.814 0.219 0.786
0.319 0.249 0.960
0.142 0.743 0.785
0.632 0.719 0.451
0.368 0.281 0.549
```

Calculated values
* SG: No. 2
* raw total energy: -47.5 eV for the cell shown
* total moment: 0.0 μB per formula unit

(8)
Material: RbPrTl2Cl6
Method: DFT, GGA-PBE
State: relaxed

```
RbPrTl2Cl6
1.0
7.980 0.002 0.000
3.991 6.910 0.000
3.990 2.304 6.846
Rb Pr Tl Cl
1 1 2 6
Direct
0.811 0.811 0.566
0.321 0.321 0.038
0.527 0.527 0.419
0.020 0.020 0.939
0.571 0.207 0.244
0.206 0.979 0.244
0.979 0.571 0.244
0.414 0.674 0.774
0.674 0.137 0.774
0.138 0.414 0.774
```

Calculated values
* SG: No. 146
* raw total energy: -38.9 eV for the cell shown
* total moment: 0.0 μB per formula unit

Here are the calculated E_form (uncorrected) numbers, same order: -2.0571, -1.0116, -2.1760, -2.1367, -2.1900, -1.6138, -1.5805, -1.7344 (eV/atom).